No. 1
First-principles (PBEsol) data for a relaxed structure of GaTe3H, as listed in Alexandria.

Structure (POSCAR):
```
GaTe3H
1.0
-1.882 -3.124 -3.047
4.240 -2.094 -0.472
-1.032 -2.905 3.616
Te H Ga
3 1 1
Cartesian
2.120 -1.047 -0.236
-0.516 -1.453 1.808
-0.941 -1.562 -1.524
0.000 0.000 0.000
0.663 -4.062 0.049
```

Uncorrected energy in eV/atom: -3.03
Crystal system: cubic
N(E_F) in states/eV/f.u.: 2.2


No. 2
First-principles (PBEsol) data for a relaxed structure of TiGa3H, as listed in Alexandria.

Structure (POSCAR):
```
TiGa3H
1.0
-0.314 -3.703 -3.354
3.261 -2.698 2.673
-3.785 -2.018 2.582
Ga Ti H
3 1 1
Cartesian
-1.892 -1.009 1.291
1.631 -1.349 1.336
-0.157 -1.851 -1.677
0.000 0.000 0.000
-0.419 -4.209 0.950
```

Uncorrected energy in eV/atom: -3.28
Crystal system: cubic
N(E_F) in states/eV/f.u.: 4.8


No. 3
First-principles (PBEsol) data for a relaxed structure of GaH2W2, as listed in Alexandria.

Structure (POSCAR):
```
GaH2W2
1.0
-0.232 1.927 -2.459
-2.879 -1.088 -0.581
-0.423 3.201 4.544
H W Ga
2 2 1
Cartesian
-1.105 2.774 0.283
-2.429 1.266 1.221
-2.145 1.498 -0.619
-1.389 2.542 2.123
0.000 0.000 0.000
```

Uncorrected energy in eV/atom: -7.32
Crystal system: tetragonal
N(E_F) in states/eV/f.u.: 1.5


No. 4
First-principles (PBEsol) data for a relaxed structure of ZnGa3H, as listed in Alexandria.

Structure (POSCAR):
```
ZnGa3H
1.0
-2.420 -3.375 -2.280
-1.300 -1.873 4.153
-3.860 2.747 0.031
Ga H Zn
3 1 1
Cartesian
-1.930 1.374 0.015
-0.650 -0.937 2.077
-1.210 -1.688 -1.140
-3.790 -1.251 0.952
0.000 0.000 0.000
```

Uncorrected energy in eV/atom: -2.26
Crystal system: cubic
N(E_F) in states/eV/f.u.: 1.9


No. 5
First-principles (PBEsol) data for a relaxed structure of ZrGa2H, as listed in Alexandria.

Structure (POSCAR):
```
ZrGa2H
1.0
4.483 0.000 0.000
2.242 3.882 0.000
2.242 1.294 3.660
H Ga Zr
1 2 1
Cartesian
0.000 0.000 0.000
6.725 3.882 2.745
2.242 1.294 0.915
4.483 2.588 1.830
```

Uncorrected energy in eV/atom: -4.32
Crystal system: cubic
N(E_F) in states/eV/f.u.: 2.8


No. 6
First-principles (PBEsol) data for a relaxed structure of Hf2Ga, as listed in Alexandria.

Structure (POSCAR):
```
Hf2Ga
1.0
5.248 0.000 0.000
2.624 4.665 0.000
2.624 0.000 4.665
Ga Hf
2 4
Cartesian
3.936 0.000 0.000
1.312 0.000 0.000
2.624 0.896 2.332
7.871 3.769 2.332
5.248 2.332 3.769
5.248 2.332 0.896
```

ΔE_f in eV/atom: -0.44
Crystal system: tetragonal
N(E_F) in states/eV/f.u.: 3.0


- The highest N(E_F) belongs to which entry?
  TiGa3H


Repeat the first record exactly.
First-principles (PBEsol) data for a relaxed structure of GaTe3H, as listed in Alexandria.

Structure (POSCAR):
```
GaTe3H
1.0
-1.882 -3.124 -3.047
4.240 -2.094 -0.472
-1.032 -2.905 3.616
Te H Ga
3 1 1
Cartesian
2.120 -1.047 -0.236
-0.516 -1.453 1.808
-0.941 -1.562 -1.524
0.000 0.000 0.000
0.663 -4.062 0.049
```

Uncorrected energy in eV/atom: -3.03
Crystal system: cubic
N(E_F) in states/eV/f.u.: 2.2


- Number 1 is which compound?
  GaTe3H


Repeat the first record exactly.
First-principles (PBEsol) data for a relaxed structure of GaTe3H, as listed in Alexandria.

Structure (POSCAR):
```
GaTe3H
1.0
-1.882 -3.124 -3.047
4.240 -2.094 -0.472
-1.032 -2.905 3.616
Te H Ga
3 1 1
Cartesian
2.120 -1.047 -0.236
-0.516 -1.453 1.808
-0.941 -1.562 -1.524
0.000 0.000 0.000
0.663 -4.062 0.049
```

Uncorrected energy in eV/atom: -3.03
Crystal system: cubic
N(E_F) in states/eV/f.u.: 2.2